1.
VASP calculation (GGA-PBE) on a relaxed Nd8Ga2Ge crystal.

It has space group C2/m (No. 12), with a = 19.152 Å, b = 5.094 Å, c = 6.939 Å, α = 90.00°, β = 103.26° and γ = 90.00°. The inequivalent atoms are Nd at (0.022, 0.000, 0.273), Nd at (0.092, 0.500, 0.960), Nd at (0.159, 0.500, 0.480), Nd at (0.209, 0.000, 0.819), Ga at (0.184, 0.000, 0.248) and Ge at (0.000, 0.500, 0.500).

As for the energy relative to the elements: -326 meV per atom. The value obtained for the total energy is -4.76 eV per atom.

2.
VASP calculation (GGA-PBE) on a relaxed GeH2I2 crystal.

It has space group Ibam (No. 72), with a = 6.890 Å, b = 11.717 Å, c = 5.550 Å, α = 90.00°, β = 90.00° and γ = 90.00°. The inequivalent atoms are Ge at (0.000, 0.000, 0.250), H at (0.096, 0.077, 0.000) and I at (0.166, 0.349, 0.000).

The value obtained for the energy relative to the lowest polymorph listed for this composition is 531 meV per atom. The value obtained for the total energy is -2.56 eV per atom.

3.
VASP calculation (GGA-PBE) on a relaxed Cu2NiRu crystal.

It has space group Pmmm (No. 47), with a = 2.606 Å, b = 4.334 Å, c = 4.404 Å, α = 90.00°, β = 90.00° and γ = 90.00°. The inequivalent atoms are Cu at (0.000, 0.000, 0.000), Cu at (0.500, 0.500, 0.000), Ni at (0.000, 0.500, 0.500) and Ru at (0.500, 0.000, 0.500).

As for the energy relative to the elements: 230 meV per atom. The value obtained for the energy relative to the lowest polymorph listed for this composition is 112 meV per atom. The value obtained for the total energy is -5.58 eV per atom.

4.
VASP calculation (GGA-PBE) on a relaxed LiCaAcLa crystal.

It has space group F-43m (No. 216), with a = 8.410 Å, b = 8.410 Å, c = 8.410 Å, α = 90.00°, β = 90.00° and γ = 90.00°. The inequivalent atoms are Li at (0.000, 0.000, 0.000), Ca at (0.250, 0.250, 0.250), Ac at (0.000, 0.000, 0.500) and La at (0.250, 0.250, 0.750).

As for the energy relative to the elements: 212 meV per atom. The value obtained for the total energy is -3.03 eV per atom.

5.
VASP calculation (GGA-PBE) on a relaxed Ce2PrO6 crystal.

It has space group Immm (No. 71), with a = 3.921 Å, b = 5.552 Å, c = 11.723 Å, α = 90.00°, β = 90.00° and γ = 90.00°. The inequivalent atoms are Ce at (0.000, 0.000, 0.167), Pr at (0.000, 0.000, 0.500), O at (0.000, 0.236, 0.000) and O at (0.000, 0.257, 0.328).

The value obtained for the formation energy from raw total energies is -3.15 eV/atom. The value obtained for the total energy is -8.30 eV per atom.

6.
VASP calculation (GGA-PBE) on a relaxed Pb6Se7 crystal.

It has space group R-3m (No. 166, hexagonal axes), with a = 7.2625 Å, b = 7.2625 Å, c = 26.5093 Å, α = 90.00°, β = 90.00° and γ = 120.00°. The inequivalent atoms are Pb at (0.0000, 0.0000, 0.0633), Pb at (0.0000, 0.0000, 0.1878), Pb at (0.0000, 0.0000, 0.3229), Se at (0.0000, 0.0000, 0.5000) and Se at (0.0199, 0.5100, 0.0823).

The value obtained for the formation energy from raw total energies is -0.03 eV/atom. The value obtained for the total energy is -3.62 eV per atom.